A plane-wave DFT calculation with GGA-PBE was carried out for a geometry-optimized AcTb4Pr2Er structure. Values from VASP.

The calculation puts the density of states at the Fermi level at 1.990 states/eV/atom. The formation energy comes out at 0.97 eV per formula unit. For the electronic total energy, the calculation gives -4.47 eV/atom.

Cell and atoms, written as Quantum ESPRESSO input:
```
&SYSTEM
  ibrav = 0, nat = 8, ntyp = 4
/
ATOMIC_SPECIES
Er 167.26 Er.upf
Tb 158.93 Tb.upf
Ac 227.00 Ac.upf
Pr 140.91 Pr.upf
ATOMIC_POSITIONS angstrom
Er 0.000 4.903 5.148
Tb 2.997 4.469 6.913
Tb 5.994 2.432 2.666
Tb 0.000 7.374 7.631
Tb 2.997 5.337 3.384
Ac 2.997 2.910 0.718
Pr 2.997 1.994 4.430
Pr 0.000 3.987 8.861
CELL_PARAMETERS angstrom
5.994 0.000 0.000
0.000 5.819 1.436
0.000 3.987 8.861
```